Here is crystalline ScInH2 at its relaxed geometry from Alexandria. Energies are from PBEsol.

Unit cell a=4.5662 b=4.5662 c=6.0360 alpha=112.23 beta=112.23 gamma=90.00
With the nearest neighbours (Å) after each atom.
Atoms (fractional coordinates):
In 0.0000 0.0000 0.0000  4 H 2.30
In 0.2500 0.7500 0.5000  4 H 2.30
H 0.4604 0.8750 0.2500  2 Sc 1.87
H 0.7896 0.3750 0.2500  2 Sc 1.87
H 0.1250 0.2104 0.7500  2 Sc 1.87
H 0.6250 0.5396 0.7500  2 Sc 1.87
Sc 0.5000 0.5000 0.0000  4 H 1.87
Sc 0.7500 0.2500 0.5000  4 H 1.87

Calculated values
- total DFT energy (no corrections) (eV/atom) = -4.225
- polymorph energy (0 for the lowest one) (meV per atom) = 0
- space-group type = I-42d, No. 122